# 1
The following is a PBE calculation of a geometry-optimized Co5Cu structure, from the Alexandria database.

Structure (CIF):
```
data_Co5Cu
_cell_length_a 4.0656
_cell_length_b 2.4944
_cell_length_c 13.0575
_cell_angle_alpha 90.00
_cell_angle_beta 90.00
_cell_angle_gamma 90.00
_space_group_name_H-M_alt 'A m m 2'
_space_group_IT_number 38
loop_
_space_group_symop_operation_xyz
'x,y,z'
'-x,-y,z'
'-x,y,z'
'x,-y,z'
'x,y+1/2,z+1/2'
'-x,-y+1/2,z+1/2'
'-x,y+1/2,z+1/2'
'x,-y+1/2,z+1/2'
loop_
_atom_site_label
_atom_site_fract_x
_atom_site_fract_y
_atom_site_fract_z
Co1 0.0000 0.0000 0.0000
Co2 0.0000 0.0000 0.3299
Co3 0.0000 0.0000 0.6651
Co4 0.5000 0.0000 0.1094
Co5 0.5000 0.0000 0.7713
Cu1 0.5000 0.0000 0.4406
```

N(E_F) in states/eV per atom: 0.94
E above lowest polymorph in meV/atom: 0
Calculated total energy in eV/f.u.: -39.27
Formation energy from the elements in eV per atom: 0.06

# 2
The following is a PBE calculation of a geometry-optimized KBeCd structure, from the Alexandria database.

Structure (CIF):
```
data_KBeCd
_cell_length_a 4.3092
_cell_length_b 4.3092
_cell_length_c 5.4940
_cell_angle_alpha 90.00
_cell_angle_beta 90.00
_cell_angle_gamma 120.00
_space_group_name_H-M_alt 'P 3 m 1'
_space_group_IT_number 156
loop_
_space_group_symop_operation_xyz
'x,y,z'
'-y,x-y,z'
'-x+y,-x,z'
'-y,-x,z'
'-x+y,y,z'
'x,x-y,z'
loop_
_atom_site_label
_atom_site_fract_x
_atom_site_fract_y
_atom_site_fract_z
K1 0.0000 0.0000 0.0000
Be1 0.6667 0.3333 0.5014
Cd1 0.3333 0.6667 0.5001
```

N(E_F) in states/eV per atom: 0.75
E above lowest polymorph in meV/atom: 221
Calculated total energy in eV/f.u.: -4.30
Formation energy from the elements in eV per atom: 0.48

# 3
The following is a PBE calculation of a geometry-optimized Ta2MnW structure, from the Alexandria database.

Structure (CIF):
```
data_Ta2MnW
_cell_length_a 3.1685
_cell_length_b 4.4132
_cell_length_c 4.5338
_cell_angle_alpha 90.00
_cell_angle_beta 90.00
_cell_angle_gamma 90.00
_space_group_name_H-M_alt 'P m m m'
_space_group_IT_number 47
loop_
_space_group_symop_operation_xyz
'x,y,z'
'-x,-y,-z'
'-x,-y,z'
'x,y,-z'
'x,-y,-z'
'-x,y,z'
'-x,y,-z'
'x,-y,z'
loop_
_atom_site_label
_atom_site_fract_x
_atom_site_fract_y
_atom_site_fract_z
Ta1 0.0000 0.0000 0.0000
Ta2 0.5000 0.0000 0.5000
Mn1 0.0000 0.5000 0.5000
W1 0.5000 0.5000 0.0000
```

N(E_F) in states/eV per atom: 0.53
Calculated total energy in eV/f.u.: -45.75
Formation energy from the elements in eV per atom: 0.02

# 4
The following is a PBE calculation of a geometry-optimized Sr2ScMn structure, from the Alexandria database.

Structure (CIF):
```
data_Sr2ScMn
_cell_length_a 3.7487
_cell_length_b 3.7487
_cell_length_c 33.3490
_cell_angle_alpha 90.00
_cell_angle_beta 90.00
_cell_angle_gamma 120.00
_space_group_name_H-M_alt 'R -3 m'
_space_group_IT_number 166
_space_group_name_Hall '-R 3 2"'
loop_
_atom_site_label
_atom_site_fract_x
_atom_site_fract_y
_atom_site_fract_z
Sr1 0.0000 0.0000 0.2423
Sc1 0.0000 0.0000 0.0000
Mn1 0.0000 0.0000 0.5000
```

N(E_F) in states/eV per atom: 1.57
E above lowest polymorph in meV/atom: 345
Calculated total energy in eV/f.u.: -16.31
Formation energy from the elements in eV per atom: 0.64

# 5
The following is a PBE calculation of a geometry-optimized Ca12InAu6 structure, from the Alexandria database.

Structure (CIF):
```
data_Ca12InAu6
_cell_length_a 10.4671
_cell_length_b 10.4671
_cell_length_c 10.4671
_cell_angle_alpha 90.00
_cell_angle_beta 90.00
_cell_angle_gamma 90.00
_space_group_name_H-M_alt 'I m -3'
_space_group_IT_number 204
_space_group_name_Hall '-I 2 2 3'
loop_
_atom_site_label
_atom_site_fract_x
_atom_site_fract_y
_atom_site_fract_z
Ca1 0.0000 0.2959 0.1780
In1 0.0000 0.0000 0.0000
Au1 0.0000 0.1347 0.5000
```

N(E_F) in states/eV per atom: 0.70
Calculated total energy in eV/f.u.: -57.16
Formation energy from the elements in eV per atom: -0.57

# 6
The following is a PBE calculation of a geometry-optimized KAl4Cu structure, from the Alexandria database.

Structure (CIF):
```
data_KAl4Cu
_cell_length_a 5.9453
_cell_length_b 5.9453
_cell_length_c 16.2691
_cell_angle_alpha 90.00
_cell_angle_beta 90.00
_cell_angle_gamma 90.00
_space_group_name_H-M_alt 'I 4/m c m'
_space_group_IT_number 140
_space_group_name_Hall '-I 4 2c'
loop_
_atom_site_label
_atom_site_fract_x
_atom_site_fract_y
_atom_site_fract_z
K1 0.0000 0.0000 0.0000
Al1 0.1581 0.3419 0.1790
Cu1 0.0000 0.0000 0.2500
```

N(E_F) in states/eV per atom: 0.21
E above lowest polymorph in meV/atom: 0
Calculated total energy in eV/f.u.: -19.70
Formation energy from the elements in eV per atom: 0.08

# 7
The following is a PBE calculation of a geometry-optimized Ba2HgSb structure, from the Alexandria database.

Structure (CIF):
```
data_Ba2HgSb
_cell_length_a 5.1322
_cell_length_b 5.1322
_cell_length_c 24.3003
_cell_angle_alpha 90.00
_cell_angle_beta 90.00
_cell_angle_gamma 120.00
_space_group_name_H-M_alt 'R -3 m'
_space_group_IT_number 166
_space_group_name_Hall '-R 3 2"'
loop_
_atom_site_label
_atom_site_fract_x
_atom_site_fract_y
_atom_site_fract_z
Ba1 0.0000 0.0000 0.2407
Hg1 0.0000 0.0000 0.0000
Sb1 0.0000 0.0000 0.5000
```

N(E_F) in states/eV per atom: 0.80
E above lowest polymorph in meV/atom: 88
Calculated total energy in eV/f.u.: -11.13
Formation energy (no corrections) in eV per formula unit: -2.86

# 8
The following is a PBE calculation of a geometry-optimized NaVOsSe2 structure, from the Alexandria database.

Structure (CIF):
```
data_NaVOsSe2
_cell_length_a 4.8125
_cell_length_b 4.8125
_cell_length_c 5.1407
_cell_angle_alpha 90.00
_cell_angle_beta 90.00
_cell_angle_gamma 90.00
_space_group_name_H-M_alt 'P 4/m m m'
_space_group_IT_number 123
_space_group_name_Hall '-P 4 2'
loop_
_atom_site_label
_atom_site_fract_x
_atom_site_fract_y
_atom_site_fract_z
Na1 0.0000 0.0000 0.0000
V1 0.5000 0.5000 0.0000
Os1 0.0000 0.0000 0.5000
Se1 0.0000 0.5000 0.5000
```

N(E_F) in states/eV per atom: 1.38
Calculated total energy in eV/f.u.: -22.83
Formation energy (no corrections) in eV per formula unit: 5.80

What did the first record say?
The following is a PBE calculation of a geometry-optimized Co5Cu structure, from the Alexandria database.

Structure (CIF):
```
data_Co5Cu
_cell_length_a 4.0656
_cell_length_b 2.4944
_cell_length_c 13.0575
_cell_angle_alpha 90.00
_cell_angle_beta 90.00
_cell_angle_gamma 90.00
_space_group_name_H-M_alt 'A m m 2'
_space_group_IT_number 38
loop_
_space_group_symop_operation_xyz
'x,y,z'
'-x,-y,z'
'-x,y,z'
'x,-y,z'
'x,y+1/2,z+1/2'
'-x,-y+1/2,z+1/2'
'-x,y+1/2,z+1/2'
'x,-y+1/2,z+1/2'
loop_
_atom_site_label
_atom_site_fract_x
_atom_site_fract_y
_atom_site_fract_z
Co1 0.0000 0.0000 0.0000
Co2 0.0000 0.0000 0.3299
Co3 0.0000 0.0000 0.6651
Co4 0.5000 0.0000 0.1094
Co5 0.5000 0.0000 0.7713
Cu1 0.5000 0.0000 0.4406
```

N(E_F) in states/eV per atom: 0.94
E above lowest polymorph in meV/atom: 0
Calculated total energy in eV/f.u.: -39.27
Formation energy from the elements in eV per atom: 0.06

> calculated total energy of number 7 (Ba2HgSb)?

-11.13 eV/f.u.

> What is the formula in the fourth record?

Sr2ScMn